# 1
# PBE-GGA HoU2Fe4, optimized geometry
# SG: P4_2/mnm (136)
# Formation energy, meV/atom: 187
# Crystal system: tetragonal
# Spin magnetization, μB/cell: 0.00
# DFT total energy, eV/atom: -8.528
data_HoU2Fe4
_symmetry_space_group_name_H-M 'P 1'
_symmetry_Int_Tables_number 1
_cell_length_a 3.951
_cell_length_b 7.558
_cell_length_c 7.559
_cell_angle_alpha 90.00
_cell_angle_beta 90.00
_cell_angle_gamma 90.00
loop_
_symmetry_equiv_pos_as_xyz
'x,y,z'
loop_
_atom_site_label
_atom_site_type_symbol
_atom_site_fract_x
_atom_site_fract_y
_atom_site_fract_z
_atom_site_occupancy
U1 U 0.000 0.236 0.765 1
U2 U 0.000 0.764 0.235 1
U3 U 0.500 0.736 0.735 1
U4 U 0.500 0.264 0.265 1
Ho1 Ho 0.500 0.000 0.000 1
Ho2 Ho 0.000 0.500 0.500 1
Fe1 Fe 0.000 0.107 0.345 1
Fe2 Fe 0.000 0.893 0.655 1
Fe3 Fe 0.500 0.155 0.607 1
Fe4 Fe 0.500 0.845 0.393 1
Fe5 Fe 0.500 0.393 0.845 1
Fe6 Fe 0.500 0.607 0.155 1
Fe7 Fe 0.000 0.345 0.107 1
Fe8 Fe 0.000 0.655 0.893 1

---

# 2
# PBE-GGA SmBeZn3, optimized geometry
# SG: Pm-3m (221)
# Formation energy, meV/atom: -91
# Crystal system: cubic
# Spin magnetization, μB/cell: 0.00
# DFT total energy, eV/atom: -2.544
data_SmBeZn3
_symmetry_space_group_name_H-M 'P 1'
_symmetry_Int_Tables_number 1
_cell_length_a 4.436
_cell_length_b 4.436
_cell_length_c 4.436
_cell_angle_alpha 90.00
_cell_angle_beta 90.00
_cell_angle_gamma 90.00
loop_
_symmetry_equiv_pos_as_xyz
'x,y,z'
loop_
_atom_site_label
_atom_site_type_symbol
_atom_site_fract_x
_atom_site_fract_y
_atom_site_fract_z
_atom_site_occupancy
Be1 Be 0.000 0.000 0.000 1
Zn1 Zn 0.000 0.500 0.000 1
Zn2 Zn 0.000 0.000 0.500 1
Zn3 Zn 0.500 0.000 0.000 1
Sm1 Sm 0.500 0.500 0.500 1

---

# 3
# PBE-GGA BeZnPt2Cl, optimized geometry
# SG: P4/mmm (123)
# Uncorrected formation energy, kJ/mol of formula units: 461
# Crystal system: tetragonal
# Spin magnetization, μB/cell: 0.00
# DFT total energy, eV/atom: -2.831
data_BeZnPt2Cl
_symmetry_space_group_name_H-M 'P 1'
_symmetry_Int_Tables_number 1
_cell_length_a 4.726
_cell_length_b 4.547
_cell_length_c 4.726
_cell_angle_alpha 90.00
_cell_angle_beta 90.00
_cell_angle_gamma 90.00
loop_
_symmetry_equiv_pos_as_xyz
'x,y,z'
loop_
_atom_site_label
_atom_site_type_symbol
_atom_site_fract_x
_atom_site_fract_y
_atom_site_fract_z
_atom_site_occupancy
Be1 Be 0.500 0.500 0.500 1
Zn1 Zn 0.000 0.000 0.000 1
Pt1 Pt 0.000 0.000 0.500 1
Pt2 Pt 0.500 0.000 0.000 1
Cl1 Cl 0.000 0.500 0.000 1

---

# 4
# PBE-GGA LiMo3S, optimized geometry
# SG: Pm-3m (221)
# ΔE to the lowest computed polymorph, eV per formula unit: 4.77
# Uncorrected formation energy, kJ/mol of formula units: 760
# Crystal system: cubic
# Spin magnetization, μB/cell: 0.00
# DFT total energy, eV/atom: -6.132
data_LiMo3S
_symmetry_space_group_name_H-M 'P 1'
_symmetry_Int_Tables_number 1
_cell_length_a 4.250
_cell_length_b 4.250
_cell_length_c 4.250
_cell_angle_alpha 90.00
_cell_angle_beta 90.00
_cell_angle_gamma 90.00
loop_
_symmetry_equiv_pos_as_xyz
'x,y,z'
loop_
_atom_site_label
_atom_site_type_symbol
_atom_site_fract_x
_atom_site_fract_y
_atom_site_fract_z
_atom_site_occupancy
Mo1 Mo 0.000 0.500 0.000 1
Mo2 Mo 0.000 0.000 0.500 1
Mo3 Mo 0.500 0.000 0.000 1
S1 S 0.500 0.500 0.500 1
Li1 Li 0.000 0.000 0.000 1

---

# 5
# PBE-GGA PmDyGeRh, optimized geometry
# SG: F-43m (216)
# ΔE to the lowest computed polymorph, eV per formula unit: 0.62
# Formation energy, meV/atom: -677
# Crystal system: cubic
# Spin magnetization, μB/cell: 0.00
# DFT total energy, eV/atom: -6.008
data_PmDyGeRh
_symmetry_space_group_name_H-M 'P 1'
_symmetry_Int_Tables_number 1
_cell_length_a 5.020
_cell_length_b 5.020
_cell_length_c 5.020
_cell_angle_alpha 60.00
_cell_angle_beta 60.00
_cell_angle_gamma 60.00
loop_
_symmetry_equiv_pos_as_xyz
'x,y,z'
loop_
_atom_site_label
_atom_site_type_symbol
_atom_site_fract_x
_atom_site_fract_y
_atom_site_fract_z
_atom_site_occupancy
Ge1 Ge 0.500 0.500 0.500 1
Pm1 Pm 0.750 0.750 0.750 1
Rh1 Rh 0.000 0.000 0.000 1
Dy1 Dy 0.250 0.250 0.250 1

---

# 6
# PBE-GGA CoNiMo2H, optimized geometry
# SG: P4/mmm (123)
# ΔE to the lowest computed polymorph, eV per formula unit: 0.00
# Crystal system: tetragonal
# Spin magnetization, μB/cell: 1.16
# DFT total energy, eV/atom: -7.510
data_CoNiMo2H
_symmetry_space_group_name_H-M 'P 1'
_symmetry_Int_Tables_number 1
_cell_length_a 3.883
_cell_length_b 3.883
_cell_length_c 3.678
_cell_angle_alpha 90.00
_cell_angle_beta 90.00
_cell_angle_gamma 90.00
loop_
_symmetry_equiv_pos_as_xyz
'x,y,z'
loop_
_atom_site_label
_atom_site_type_symbol
_atom_site_fract_x
_atom_site_fract_y
_atom_site_fract_z
_atom_site_occupancy
Ni1 Ni 0.500 0.500 0.500 1
Mo1 Mo 0.000 0.500 0.000 1
Mo2 Mo 0.500 0.000 0.000 1
Co1 Co 0.000 0.000 0.500 1
H1 H 0.000 0.000 0.000 1

---

# 7
# PBE-GGA ThMgAl, optimized geometry
# SG: P2_1/m (11)
# Formation energy, meV/atom: -181
# Crystal system: monoclinic
# Spin magnetization, μB/cell: 0.00
# DFT total energy, eV/atom: -4.434
data_ThMgAl
_symmetry_space_group_name_H-M 'P 1'
_symmetry_Int_Tables_number 1
_cell_length_a 4.556
_cell_length_b 7.559
_cell_length_c 13.067
_cell_angle_alpha 89.83
_cell_angle_beta 90.00
_cell_angle_gamma 90.00
loop_
_symmetry_equiv_pos_as_xyz
'x,y,z'
loop_
_atom_site_label
_atom_site_type_symbol
_atom_site_fract_x
_atom_site_fract_y
_atom_site_fract_z
_atom_site_occupancy
Th1 Th 0.750 0.515 0.378 1
Th2 Th 0.250 0.987 0.702 1
Th3 Th 0.750 0.013 0.298 1
Th4 Th 0.750 0.648 0.080 1
Th5 Th 0.250 0.485 0.622 1
Th6 Th 0.250 0.352 0.920 1
Al1 Al 0.250 0.770 0.914 1
Al2 Al 0.750 0.276 0.751 1
Al3 Al 0.750 0.773 0.578 1
Al4 Al 0.750 0.230 0.086 1
Al5 Al 0.250 0.227 0.422 1
Al6 Al 0.250 0.724 0.249 1
Mg1 Mg 0.250 0.991 0.092 1
Mg2 Mg 0.250 0.838 0.458 1
Mg3 Mg 0.750 0.649 0.802 1
Mg4 Mg 0.750 0.162 0.542 1
Mg5 Mg 0.250 0.351 0.198 1
Mg6 Mg 0.750 0.009 0.908 1

---

# 8
# PBE-GGA BaCu2Te, optimized geometry
# SG: P4mm (99)
# Uncorrected formation energy, kJ/mol of formula units: -12
# Crystal system: tetragonal
# Spin magnetization, μB/cell: 0.00
# DFT total energy, eV/atom: -3.345
data_BaCu2Te
_symmetry_space_group_name_H-M 'P 1'
_symmetry_Int_Tables_number 1
_cell_length_a 3.691
_cell_length_b 3.691
_cell_length_c 7.340
_cell_angle_alpha 90.00
_cell_angle_beta 90.00
_cell_angle_gamma 90.00
loop_
_symmetry_equiv_pos_as_xyz
'x,y,z'
loop_
_atom_site_label
_atom_site_type_symbol
_atom_site_fract_x
_atom_site_fract_y
_atom_site_fract_z
_atom_site_occupancy
Ba1 Ba 0.500 0.500 0.761 1
Cu1 Cu 0.000 0.000 0.096 1
Cu2 Cu 0.500 0.500 0.195 1
Te1 Te 0.000 0.000 0.448 1

---

# 9
# PBE-GGA CePmHgGe, optimized geometry
# SG: F-43m (216)
# Formation energy, meV/atom: -497
# Crystal system: cubic
# Spin magnetization, μB/cell: 1.05
# DFT total energy, eV/atom: -4.398
data_CePmHgGe
_symmetry_space_group_name_H-M 'P 1'
_symmetry_Int_Tables_number 1
_cell_length_a 5.282
_cell_length_b 5.282
_cell_length_c 5.282
_cell_angle_alpha 60.00
_cell_angle_beta 60.00
_cell_angle_gamma 60.00
loop_
_symmetry_equiv_pos_as_xyz
'x,y,z'
loop_
_atom_site_label
_atom_site_type_symbol
_atom_site_fract_x
_atom_site_fract_y
_atom_site_fract_z
_atom_site_occupancy
Ge1 Ge 0.250 0.250 0.250 1
Hg1 Hg 0.750 0.750 0.750 1
Ce1 Ce 0.500 0.500 0.500 1
Pm1 Pm 0.000 0.000 0.000 1

---

# 10
# PBE-GGA MoPbSe2, optimized geometry
# SG: Pm (6)
# Uncorrected formation energy, kJ/mol of formula units: -20
# Crystal system: monoclinic
# Spin magnetization, μB/cell: 0.00
# DFT total energy, eV/atom: -5.428
data_MoPbSe2
_symmetry_space_group_name_H-M 'P 1'
_symmetry_Int_Tables_number 1
_cell_length_a 3.454
_cell_length_b 4.460
_cell_length_c 7.057
_cell_angle_alpha 71.48
_cell_angle_beta 90.00
_cell_angle_gamma 90.00
loop_
_symmetry_equiv_pos_as_xyz
'x,y,z'
loop_
_atom_site_label
_atom_site_type_symbol
_atom_site_fract_x
_atom_site_fract_y
_atom_site_fract_z
_atom_site_occupancy
Mo1 Mo 0.000 0.463 0.200 1
Pb1 Pb 0.500 0.663 0.798 1
Se1 Se 0.000 0.043 0.039 1
Se2 Se 0.500 0.331 0.463 1

---

# 11
# PBE-GGA La2Tb2Hg3, optimized geometry
# SG: C2/m (12)
# Formation energy, meV/atom: -339
# Crystal system: monoclinic
# Spin magnetization, μB/cell: 0.77
# DFT total energy, eV/atom: -3.199
data_La2Tb2Hg3
_symmetry_space_group_name_H-M 'P 1'
_symmetry_Int_Tables_number 1
_cell_length_a 5.270
_cell_length_b 5.273
_cell_length_c 9.256
_cell_angle_alpha 89.98
_cell_angle_beta 106.52
_cell_angle_gamma 120.07
loop_
_symmetry_equiv_pos_as_xyz
'x,y,z'
loop_
_atom_site_label
_atom_site_type_symbol
_atom_site_fract_x
_atom_site_fract_y
_atom_site_fract_z
_atom_site_occupancy
La1 La 0.258 0.129 0.387 1
La2 La 0.742 0.871 0.613 1
Tb1 Tb 0.755 0.378 0.131 1
Tb2 Tb 0.245 0.622 0.869 1
Hg1 Hg 0.000 0.000 0.000 1
Hg2 Hg 0.510 0.255 0.766 1
Hg3 Hg 0.490 0.745 0.234 1

---

# 12
# PBE-GGA Cs4Ac3ZrS8, optimized geometry
# SG: R-3m (166)
# Uncorrected formation energy, kJ/mol of formula units: -2636
# Crystal system: trigonal
# Spin magnetization, μB/cell: 0.01
# DFT total energy, eV/atom: -5.289
data_Cs4Ac3ZrS8
_symmetry_space_group_name_H-M 'P 1'
_symmetry_Int_Tables_number 1
_cell_length_a 8.645
_cell_length_b 9.531
_cell_length_c 8.644
_cell_angle_alpha 116.98
_cell_angle_beta 120.00
_cell_angle_gamma 90.00
loop_
_symmetry_equiv_pos_as_xyz
'x,y,z'
loop_
_atom_site_label
_atom_site_type_symbol
_atom_site_fract_x
_atom_site_fract_y
_atom_site_fract_z
_atom_site_occupancy
Cs1 Cs 0.500 0.000 0.000 1
Cs2 Cs 0.500 0.000 0.500 1
Cs3 Cs 0.000 0.000 0.000 1
Cs4 Cs 0.000 0.000 0.500 1
Ac1 Ac 0.500 0.500 0.000 1
Ac2 Ac 0.500 0.500 0.500 1
Ac3 Ac 0.000 0.500 0.500 1
Zr1 Zr 0.000 0.500 0.000 1
S1 S 0.212 0.684 0.972 1
S2 S 0.212 0.684 0.424 1
S3 S 0.267 0.300 0.534 1
S4 S 0.760 0.684 0.972 1
S5 S 0.240 0.316 0.028 1
S6 S 0.733 0.700 0.466 1
S7 S 0.788 0.316 0.576 1
S8 S 0.788 0.316 0.028 1

---

Number 6 is which compound?
CoNiMo2H

---

Which value of DFT total energy does entry 4 give?
-6.132 eV/atom